Record 1
The following is a DFT calculation (PBE+U) of a geometry-optimized Li6Co2O7 structure.

Output
energy: -5.251 eV/atom

Cell: 4.8649 5.6149 4.9051 Å, 87.99 101.08 107.13°
Closest atoms and distances in Å follow each position.
Positions (direct):
O: 0.2496 0.0422 0.3735  2 Co 1.91-1.92, 4 Li 1.99-2.09
O: 0.7409 0.6935 0.1603  2 Co 1.88-1.90, 4 Li 1.93-2.10
O: 0.2504 0.5828 0.3765  2 Co 1.91-1.92, 4 Li 1.99-2.09
O: 0.7591 0.9315 0.5897  2 Co 1.88-1.90, 4 Li 1.93-2.10
O: 0.7848 0.4553 0.6365  1 Co 1.84, 5 Li 1.88-2.06
O: 0.7152 0.1697 0.1135  1 Co 1.84, 5 Li 1.88-2.06
O: 0.2500 0.8125 0.8750  2 Co 1.96, 4 Li 2.02-2.03
Co: 0.0017 0.7462 0.5039  6 O 1.84-1.96
Co: 0.4983 0.8788 0.2461  6 O 1.84-1.96
Li: 0.5182 0.6419 0.7454  5 O 1.93-2.10
Li: 0.9849 0.2532 0.4570  5 O 1.90-2.09
Li: 0.5151 0.3718 0.2930  5 O 1.90-2.09
Li: 0.5312 0.1133 0.7381  5 O 1.88-2.06
Li: 0.9818 0.9831 0.0046  5 O 1.93-2.10
Li: 0.9688 0.5117 0.0119  5 O 1.88-2.06



Record 2
The following is a DFT calculation (PBE+U) of a geometry-optimized LiCoO3 structure.

Output
energy: -5.303 eV/atom

Cell: 4.8409 4.8409 4.7727 Å, 97.45 97.45 122.29°
Closest atoms and distances in Å follow each position.
Positions (direct):
Li: 0.6470 0.3530 0.5000  6 O 2.02-2.06
Li: 0.3530 0.6470 0.5000  6 O 2.02-2.06
Co: 0.1593 0.8407 0.0000  6 O 1.79-1.88
Co: 0.8407 0.1593 0.0000  6 O 1.79-1.88
O: 0.1990 0.1990 0.2297  2 Co 1.83
O: 0.0615 0.4367 0.7765  2 Co 1.79-1.88
O: 0.4367 0.0615 0.7765  2 Co 1.79-1.88
O: 0.9385 0.5633 0.2235  2 Co 1.79-1.88
O: 0.5633 0.9385 0.2235  2 Co 1.79-1.88
O: 0.8010 0.8010 0.7703  2 Co 1.83



Record 3
The following is a DFT calculation (PBE+U) of a geometry-optimized Li3CoO4 structure.

Output
energy: -5.229 eV/atom

Cell: 4.9077 4.9077 4.8741 Å, 101.85 101.85 33.68°
Closest atoms and distances in Å follow each position.
Positions (direct):
O: 0.6167 0.6167 0.3427  1 Co 1.79, 2 Li 2.00
O: 0.1115 0.1115 0.8914  2 Co 1.91, 2 Li 1.97-2.00
O: 0.3833 0.3833 0.6573  1 Co 1.79, 2 Li 2.00
O: 0.8885 0.8885 0.1086  2 Co 1.91, 2 Li 1.97-2.00
Co: 0.5000 0.5000 0.0000  6 O 1.79-1.91
Li: 0.2525 0.2525 0.2619  6 O 2.00-2.15
Li: 0.0000 0.0000 0.5000  6 O 1.97-2.04
Li: 0.7475 0.7475 0.7381  6 O 2.00-2.15



no.,total moment (μB per cell)
1,2.0
2,4.0
3,1.5